No. 1
Here is CeCoN after structural relaxation from Alexandria. Energies are from PBE.

Cell lengths 3.455, 3.455, 7.433 Å; angles 90.00, 90.00, 90.00 degrees
Last column: magnetic moment on the atom in μB.
Element x y z (fractional)
Ce 0.000 0.500 0.677  -0.20
Co 0.000 0.500 0.073  1.68
N 0.000 0.500 0.350  0.04
Co 0.500 0.000 0.927  1.68
Ce 0.500 0.000 0.323  -0.20
N 0.500 0.000 0.650  0.04

Output
calculated density = 8.0 g/cm3

=====

No. 2
Here is Ce5CoN8 after structural relaxation from Alexandria. Energies are from PBE.

Cell lengths 6.500, 6.500, 6.500 Å; angles 109.01, 110.39, 109.01 degrees
Last column: magnetic moment on the atom in μB.
Element x y z (fractional)
Ce 0.500 0.000 0.500  0.06
Ce 0.873 0.931 0.303  0.06
N 0.672 0.333 0.878  0.01
Ce 0.697 0.570 0.628  0.06
N 0.560 0.789 0.862  0.12
N 0.230 0.302 0.440  0.12
Ce 0.058 0.430 0.127  0.06
N 0.138 0.698 0.928  0.12
N 0.660 0.206 0.328  0.01
Co 0.250 0.500 0.750  1.78
Ce 0.372 0.069 0.942  0.06
N 0.546 0.667 0.340  0.01
N 0.072 0.211 0.770  0.12
N 0.122 0.794 0.454  0.01

Output
calculated density = 6.8 g/cm3

=====

No. 3
Here is CeNb2CoN4 after structural relaxation from Alexandria. Energies are from PBE.

Cell lengths 3.194, 5.570, 10.835 Å; angles 90.00, 90.00, 106.66 degrees
Element x y z (fractional)
N 0.273 0.545 0.387
Co 0.160 0.321 0.250
N 0.553 0.107 0.250
N 0.727 0.455 0.887
Co 0.840 0.679 0.750
Ce 0.108 0.215 0.750
N 0.000 0.000 0.500
N 0.727 0.455 0.613
Nb 0.632 0.264 0.057
N 0.273 0.545 0.113
Nb 0.632 0.264 0.443
Nb 0.368 0.736 0.557
Nb 0.368 0.736 0.943
N 0.000 0.000 0.000
Ce 0.892 0.785 0.250
N 0.447 0.893 0.750

Output
calculated density = 7.9 g/cm3

=====

No. 4
Here is CeNbCoN3 after structural relaxation from Alexandria. Energies are from PBE.

Cell lengths 3.215, 6.745, 7.143 Å; angles 104.46, 90.00, 90.00 degrees
Last column: magnetic moment on the atom in μB.
Element x y z (fractional)
N 0.750 0.437 0.151  0.00
Co 0.750 0.895 0.404  0.35
N 0.750 0.197 0.498  0.04
N 0.750 0.881 0.127  0.01
N 0.250 0.119 0.873  0.01
Nb 0.750 0.332 0.844  0.02
Co 0.250 0.105 0.596  0.35
Ce 0.750 0.811 0.782  0.01
Ce 0.250 0.189 0.218  0.01
Nb 0.250 0.668 0.156  0.02
N 0.250 0.563 0.849  0.00
N 0.250 0.803 0.502  0.04

Output
calculated density = 7.4 g/cm3

=====

Number 1: uncorrected formation energy -0.77 eV/atom, total energy -0.2898 Ha/atom. Number 2: uncorrected formation energy -0.85 eV/atom, total energy -0.3027 Ha/atom. Number 3: uncorrected formation energy -1.00 eV/atom, total energy -0.3422 Ha/atom. Number 4: uncorrected formation energy -0.91 eV/atom, total energy -0.3279 Ha/atom.